(1)
{"formula": "CrBr3Cl", "functional": "PBE", "state": "optimized geometry", "lattice": [[5.336, 0.000, 0.000], [0.000, 5.336, 0.000], [0.000, 0.000, 5.336]], "species": ["Br", "Br", "Br", "Cl", "Cr"], "frac_coords": [[0.000, 0.500, 0.000], [0.000, 0.000, 0.500], [0.500, 0.000, 0.000], [0.000, 0.000, 0.000], [0.500, 0.500, 0.500]]}

(2)
{"formula": "CrBrCl", "functional": "PBE", "state": "optimized geometry", "lattice": [[4.086, -0.285, 0.342], [1.762, 3.084, -0.029], [2.667, -1.530, 6.842]], "species": ["Br", "Cl", "Cr"], "frac_coords": [[0.976, 0.725, 0.806], [0.047, 0.197, 0.249], [0.477, 0.478, 0.037]], "e_above_lowest_polymorph_mev_per_atom": 0.2}

(3)
{"formula": "CrBrCl2", "functional": "PBE", "state": "optimized geometry", "lattice": [[0.000, 3.487, 3.487], [3.487, 0.000, 3.487], [3.487, 3.487, 0.000]], "species": ["Cl", "Cl", "Cr", "Br"], "frac_coords": [[0.750, 0.750, 0.750], [0.250, 0.250, 0.250], [0.000, 0.000, 0.000], [0.500, 0.500, 0.500]], "e_above_lowest_polymorph_mev_per_atom": 1089.5}

(4)
{"formula": "CrBrCl", "functional": "PBE", "state": "optimized geometry", "lattice": [[3.802, 0.425, -0.206], [1.196, 6.900, 0.695], [0.060, 3.178, 7.007]], "species": ["Br", "Br", "Cl", "Cl", "Cr", "Cr"], "frac_coords": [[0.767, 0.365, 0.100], [0.967, 0.959, 0.601], [0.482, 0.932, 0.075], [0.185, 0.520, 0.477], [0.331, 0.234, 0.374], [0.987, 0.920, 0.261]], "e_above_lowest_polymorph_mev_per_atom": 110.8}

(5)
{"formula": "CrBrCl", "functional": "PBE", "state": "optimized geometry", "lattice": [[3.746, 0.000, 0.000], [-1.873, 3.245, 0.000], [0.000, 0.000, 6.453]], "species": ["Cr", "Cl", "Br"], "frac_coords": [[0.333, 0.667, 0.655], [0.667, 0.333, 0.452], [0.000, 0.000, 0.893]], "e_above_lowest_polymorph_mev_per_atom": 48.5}

(6)
{"formula": "CrBrCl2", "functional": "PBE", "state": "optimized geometry", "lattice": [[3.988, -0.152, 0.000], [-2.569, 3.055, 0.000], [0.000, 0.000, 10.628]], "species": ["Br", "Cl", "Cl", "Cr"], "frac_coords": [[0.500, 0.500, 0.750], [0.000, 0.000, 0.094], [0.000, 0.000, 0.406], [0.500, 0.500, 0.250]], "e_above_lowest_polymorph_mev_per_atom": 387.2}

(7)
{"formula": "Cr2BrCl", "functional": "PBE", "state": "optimized geometry", "lattice": [[3.688, 0.000, 0.000], [0.000, 3.917, -0.016], [0.000, -0.121, 6.623]], "species": ["Cl", "Cr", "Cr", "Br"], "frac_coords": [[0.500, 0.750, 0.750], [0.000, 0.872, 0.022], [0.000, 0.628, 0.478], [0.500, 0.250, 0.250]], "e_above_lowest_polymorph_mev_per_atom": 322.3}

(8)
{"formula": "CrBrCl2", "functional": "PBE", "state": "optimized geometry", "lattice": [[-2.967, -1.793, -1.918], [0.419, 0.597, 3.895], [-4.712, 8.675, -0.823]], "species": ["Cl", "Cl", "Cr", "Br"], "frac_coords": [[0.000, 0.000, 0.001], [0.500, 0.500, 0.334], [0.000, 0.000, 0.493], [0.500, 0.500, 0.672]], "e_above_lowest_polymorph_mev_per_atom": 575.1}

(9)
{"formula": "CrBr4Cl", "functional": "PBE", "state": "optimized geometry", "lattice": [[4.210, -4.011, -1.852], [-1.442, -5.905, -0.541], [-0.431, -2.541, -5.532]], "species": ["Cr", "Cl", "Br", "Br", "Br", "Br"], "frac_coords": [[0.000, 0.000, 0.000], [0.750, 0.750, 0.750], [0.375, 0.375, 0.875], [0.375, 0.375, 0.375], [0.875, 0.375, 0.375], [0.375, 0.875, 0.375]]}

(10)
{"formula": "Cr2BrCl", "functional": "PBE", "state": "optimized geometry", "lattice": [[-0.082, 0.263, 3.457], [-2.801, -2.042, 0.088], [4.075, -5.568, 0.520]], "species": ["Cr", "Cr", "Br", "Cl"], "frac_coords": [[0.000, 0.000, 0.992], [0.000, 0.000, 0.508], [0.500, 0.500, 0.250], [0.500, 0.500, 0.750]], "e_above_lowest_polymorph_mev_per_atom": 436.8}

(11)
{"formula": "CrBrCl2", "functional": "PBE", "state": "optimized geometry", "lattice": [[3.701, 0.000, 0.000], [0.000, 6.503, 0.000], [0.000, 0.000, 4.000]], "species": ["Cl", "Cl", "Br", "Cr"], "frac_coords": [[0.500, 0.500, 0.000], [0.000, 0.000, 0.000], [0.000, 0.500, 0.500], [0.500, 0.000, 0.500]], "e_above_lowest_polymorph_mev_per_atom": 952.6}

(12)
{"formula": "Cr2BrCl", "functional": "PBE", "state": "optimized geometry", "lattice": [[-5.709, 4.336, 0.492], [-6.465, 0.424, -3.109], [5.060, -3.951, 3.229]], "species": ["Cr", "Cr", "Cl", "Br"], "frac_coords": [[0.000, 0.000, 0.000], [0.250, 0.750, 0.500], [0.750, 0.250, 0.500], [0.500, 0.500, 0.000]], "e_above_lowest_polymorph_mev_per_atom": 343.3}

Listing energy relative to the elements, uncorrected for the structures above in their given order: 0.58, -0.77, 0.20, -0.66, -0.73, -0.50, 0.14, -0.31, 0.63, 0.25, 0.07, 0.16 eV/atom.